Computed, not measured: an optimized crystal structure of Sc3PtBr at the GGA-PBE level of DFT.

Structure (POSCAR):
```
Sc3PtBr
1.0
5.1546 0.0000 0.0000
0.0000 5.1546 0.0000
0.0000 0.0000 5.1546
Sc Pt Br
3 1 1
Direct
0.5000 0.0000 0.0000 Sc
0.0000 0.5000 0.0000 Sc
0.0000 0.0000 0.5000 Sc
0.0000 0.0000 0.0000 Pt
0.5000 0.5000 0.5000 Br
```

Properties
Crystal system ... cubic
Space-group type ... No. 221
Density ... 4.97 g/cm³
Energy relative to the elements, uncorrected ... -0.46 eV per atom



Computed, not measured: an optimized crystal structure of La3Y2UN6 at the GGA-PBE level of DFT.

Structure (POSCAR):
```
La3Y2UN6
1.0
-4.2140 3.0301 3.2795
-1.7433 -4.4349 -3.8714
2.4951 -3.5607 4.5792
La N Y U
3 6 2 1
Direct
0.8311 0.1689 0.5000 La
0.5000 0.5000 0.5000 La
0.1689 0.8311 0.5000 La
0.2358 0.2358 0.7819 N
0.3786 0.0713 0.2139 N
0.6214 0.9287 0.7861 N
0.7642 0.7642 0.2181 N
0.0713 0.3786 0.2139 N
0.9287 0.6214 0.7861 N
0.3337 0.6663 0.0000 Y
0.6663 0.3337 0.0000 Y
0.0000 0.0000 0.0000 U
```

Properties
Crystal system ... monoclinic
Space-group type ... No. 12
Density ... 7.80 g/cm³
Energy relative to the elements, uncorrected ... -1.50 eV per atom



Computed, not measured: an optimized crystal structure of PrDyTmIn at the GGA-PBE level of DFT.

Structure (POSCAR):
```
PrDyTmIn
1.0
-0.4372 -5.1154 1.9746
3.0441 -4.0468 -2.1481
4.1220 -2.1848 2.9144
Pr Tm Dy In
1 1 1 1
Direct
0.2500 0.2500 0.2500 Pr
0.0000 0.0000 0.0000 Tm
0.7500 0.7500 0.7500 Dy
0.5000 0.5000 0.5000 In
```

Properties
Crystal system ... cubic
Space-group type ... No. 216
Density ... 8.28 g/cm³
Raw total energy ... -17.18 eV per cell



Computed, not measured: an optimized crystal structure of PrNd3P at the GGA-PBE level of DFT.

Structure (POSCAR):
```
PrNd3P
1.0
-2.3679 -0.4750 -5.0650
2.7247 -4.8364 -0.8202
-4.2960 -2.8055 2.2716
Pr Nd P
1 3 1
Direct
0.5000 0.5000 0.5000 Pr
0.0000 0.5000 0.0000 Nd
0.0000 0.0000 0.5000 Nd
0.5000 0.0000 0.0000 Nd
0.0000 0.0000 0.0000 P
```

Properties
Crystal system ... cubic
Space-group type ... No. 221
Density ... 5.68 g/cm³
Raw total energy ... -26.48 eV per cell



Computed, not measured: an optimized crystal structure of Al3PdRh at the GGA-PBE level of DFT.

Structure (POSCAR):
```
Al3PdRh
1.0
4.6136 0.0000 0.0000
0.0000 4.6136 0.0000
0.0000 0.0000 4.6136
Al Pd Rh
3 1 1
Direct
0.5000 0.0000 0.0000 Al
0.0000 0.0000 0.5000 Al
0.0000 0.5000 0.0000 Al
0.5000 0.5000 0.5000 Pd
0.0000 0.0000 0.0000 Rh
```

Properties
Crystal system ... cubic
Space-group type ... No. 221
Density ... 4.91 g/cm³
Raw total energy ... -24.39 eV per cell



Computed, not measured: an optimized crystal structure of RbZnInSe3 at the GGA-PBE level of DFT.

Structure (POSCAR):
```
RbZnInSe3
1.0
-2.5405 2.3329 -2.1212
-4.7241 -4.6231 4.4426
0.1995 7.6205 8.1423
In Zn Se Rb
2 2 6 2
Direct
0.0000 0.0000 0.0000 In
0.0000 0.0000 0.5000 In
0.4636 0.9283 0.7500 Zn
0.5364 0.0717 0.2500 Zn
0.6173 0.2338 0.4427 Se
0.9398 0.8788 0.2500 Se
0.3827 0.7662 0.9427 Se
0.6173 0.2338 0.0573 Se
0.3827 0.7662 0.5573 Se
0.0602 0.1212 0.7500 Se
0.7431 0.4877 0.7500 Rb
0.2569 0.5123 0.2500 Rb
```

Properties
Crystal system ... monoclinic
Space-group type ... No. 11
Density ... 4.80 g/cm³
Energy relative to the elements, uncorrected ... -0.79 eV per atom